# 1
The following is a PBE calculation of CeSmHf2 after structural relaxation, from the Alexandria database.

Lattice parameters (Å, degrees): 4.858 4.639 4.639 90.00 90.00 90.00
Element x y z (fractional)
Ce 0.500 0.500 0.500
Sm 0.500 0.000 0.000
Hf 0.000 0.500 0.000
Hf 0.000 0.000 0.500

Values from the calculation:
The calculated density comes out at 10.28 g cm⁻³. For the energy relative to the elements, the calculation gives 0.226 eV/atom. The calculation puts the energy at -7.4141 eV per atom.



# 2
The following is a PBE calculation of CeSmHfTh after structural relaxation, from the Alexandria database.

Lattice parameters (Å, degrees): 5.468 5.468 5.468 60.00 60.00 60.00
Element x y z (fractional)
Sm 0.750 0.750 0.750
Th 0.500 0.500 0.500
Hf 0.250 0.250 0.250
Ce 0.000 0.000 0.000

Values from the calculation:
The calculated density comes out at 10.07 g cm⁻³. For the energy relative to the elements, the calculation gives 0.270 eV/atom. The calculation puts the energy at -6.7370 eV per atom.



# 3
The following is a PBE calculation of CeSmTmHf after structural relaxation, from the Alexandria database.

Lattice parameters (Å, degrees): 5.428 5.428 5.428 60.00 60.00 60.00
Element x y z (fractional)
Tm 0.750 0.750 0.750
Hf 0.250 0.250 0.250
Ce 0.500 0.500 0.500
Sm 0.000 0.000 0.000

Values from the calculation:
The calculated density comes out at 9.37 g cm⁻³. For the energy relative to the elements, the calculation gives 0.251 eV/atom. The calculation puts the energy at -6.0182 eV per atom.



# 4
The following is a PBE calculation of CeHfSn after structural relaxation, from the Alexandria database.

Lattice parameters (Å, degrees): 3.399 5.143 5.143 120.00 90.00 90.00
Element x y z (fractional)
Sn 0.834 0.667 0.333
Ce 0.333 0.333 0.667
Hf 0.833 0.000 0.000

Values from the calculation:
The value obtained for the polymorph energy (0 for the lowest one) is 0.057 eV/atom. The calculated density comes out at 9.33 g cm⁻³. For the energy relative to the elements, the calculation gives -0.118 eV/atom. The calculation puts the energy at -6.7483 eV per atom.



# 5
The following is a PBE calculation of Ce2HfSn8 after structural relaxation, from the Alexandria database.

Lattice parameters (Å, degrees): 4.732 4.732 12.936 90.00 90.00 90.00
Element x y z (fractional)
Hf 0.000 0.000 0.000
Sn 0.000 0.500 0.862
Sn 0.500 0.000 0.138
Sn 0.000 0.500 0.500
Sn 0.500 0.000 0.862
Sn 0.500 0.500 0.321
Ce 0.000 0.000 0.318
Sn 0.000 0.500 0.138
Ce 0.000 0.000 0.682
Sn 0.500 0.000 0.500
Sn 0.500 0.500 0.679

Values from the calculation:
The calculated density comes out at 8.07 g cm⁻³. For the energy relative to the elements, the calculation gives -0.402 eV/atom. The calculation puts the energy at -5.2972 eV per atom.



# 6
The following is a PBE calculation of CeHfSn after structural relaxation, from the Alexandria database.

Lattice parameters (Å, degrees): 5.555 5.555 5.775 90.00 90.00 90.00
Element x y z (fractional)
Hf 0.500 0.000 0.865
Hf 0.000 0.500 0.135
Sn 0.500 0.500 0.000
Ce 0.000 0.500 0.657
Ce 0.500 0.000 0.343
Sn 0.000 0.000 0.000

Values from the calculation:
The value obtained for the polymorph energy (0 for the lowest one) is 0.322 eV/atom. The calculated density comes out at 8.15 g cm⁻³. For the energy relative to the elements, the calculation gives 0.147 eV/atom. The calculation puts the energy at -6.4828 eV per atom.



# 7
The following is a PBE calculation of CeHf2Sn after structural relaxation, from the Alexandria database.

Lattice parameters (Å, degrees): 3.693 3.693 6.942 90.00 90.00 90.00
Element x y z (fractional)
Hf 0.000 0.000 0.776
Ce 0.500 0.500 0.500
Hf 0.000 0.000 0.224
Sn 0.500 0.500 0.000

Values from the calculation:
The value obtained for the polymorph energy (0 for the lowest one) is 0.117 eV/atom. The calculated density comes out at 10.80 g cm⁻³. For the energy relative to the elements, the calculation gives -0.087 eV/atom. The calculation puts the energy at -7.5477 eV per atom.



# 8
The following is a PBE calculation of CeHf2Sn after structural relaxation, from the Alexandria database.

Lattice parameters (Å, degrees): 4.284 4.661 4.661 90.00 90.00 90.00
Element x y z (fractional)
Hf 0.000 0.500 0.000
Ce 0.500 0.000 0.000
Sn 0.500 0.500 0.500
Hf 0.000 0.000 0.500

Values from the calculation:
The value obtained for the polymorph energy (0 for the lowest one) is 0.000 eV/atom. The calculated density comes out at 10.99 g cm⁻³. For the energy relative to the elements, the calculation gives -0.204 eV/atom. The calculation puts the energy at -7.6650 eV per atom.



> Which of these has the highest energy?

Ce2HfSn8



> Number 5 is which compound?

Ce2HfSn8